Crystalline Pm8Sm3Tm2 at its relaxed geometry. Source: Alexandria, functional PBE.

Results
calculated formation energy = 222 meV/atom

a = 14.8546 Å, b = 9.2973 Å, c = 6.9813 Å
α = 90.00°, β = 108.40°, γ = 90.00°
Space group C2/m (No. 12)
Symmetry-distinct sites (fractional):
Pm1 0.0826 0.0000 0.2232 [4 per cell]
Pm2 0.1242 0.1835 0.6738 [8 per cell]
Pm3 0.2169 0.5000 0.9162 [4 per cell]
Sm1 0.0000 0.3282 0.0000 [4 per cell]
Sm2 0.0000 0.5000 0.5000 [2 per cell]
Tm1 0.1890 0.5000 0.3872 [4 per cell]

---

Crystalline InPtBr2 at its relaxed geometry. Source: Alexandria, functional PBE.

Results
raw formation energy = 0.017 eV/atom

a = 3.6624 Å, b = 7.0270 Å, c = 9.0784 Å
α = 90.00°, β = 90.00°, γ = 90.00°
Space group Cmmm (No. 65)
Symmetry-distinct sites (fractional):
In1 0.0000 0.0000 0.0000 [2 per cell]
Pt1 0.0000 0.0000 0.5000 [2 per cell]
Br1 0.0000 0.5000 0.3127 [4 per cell]

---

| no. | energy above the most stable polymorph in this dataset (meV per atom) | DFT total energy (eV per atom) | volume (Å³ per cell) |
| --- | --- | --- | --- |
| 1 | 7.5 | -4.478 | 914.86 |
| 2 | 332.7 | -3.014 | 233.64 |